The following is a GGA-PBE calculation of an optimized crystal structure of SrNpZn2O8, from Alexandria.

Formation energy from raw total energies ... -18.85 eV/f.u.
Total moment ... 0.08 μB per atom

abc: 6.0680 6.0680 6.0680
angles: 112.46 112.46 103.65
Site moments in Bohr magnetons follow the coordinates.
Fractional coordinates of all 12 atoms:
O (0.9508, 0.6558, 0.7049)  0.00
O (0.2803, 0.1392, 0.8589)  0.21
O (0.7541, 0.0492, 0.7049)  0.00
O (0.8608, 0.7197, 0.1411)  0.21
O (0.9508, 0.2459, 0.2951)  0.00
O (0.3442, 0.0492, 0.2951)  0.00
Zn (0.7500, 0.2500, 0.5000)  0.00
O (0.5785, 0.7197, 0.8589)  0.21
Np (0.0000, 0.0000, 0.0000)  -0.07
Sr (0.2500, 0.7500, 0.5000)  0.04
Zn (0.5000, 0.5000, 0.0000)  0.02
O (0.2803, 0.4215, 0.1411)  0.21